VASP calculation (PBE) on crystalline Li4Pa3AgS8 at its relaxed geometry.

The value obtained for the formation energy (no corrections) is -21.34 eV per formula unit. For the mass density, the calculation gives 5.552 g cm⁻³. Its density of states at the Fermi level is 49.27 states/eV/cell.

It has space group R-3m (No. 166, hexagonal axes), with a = 7.7382 Å, b = 7.7382 Å, c = 18.7745 Å, α = 90.00°, β = 90.00° and γ = 120.00°. Symmetry generates all atoms from Li at (0.0000, 0.0000, 0.0000), Li at (0.0000, 0.5000, 0.0000), Pa at (0.0000, 0.5000, 0.5000), Ag at (0.0000, 0.0000, 0.5000), S at (0.0000, 0.0000, 0.2531) and S at (0.0077, 0.5039, 0.7479).

---

VASP calculation (PBE) on crystalline Ca2BN2 at its relaxed geometry.

The value obtained for the formation energy (no corrections) is -3.39 eV per formula unit. For the mass density, the calculation gives 3.118 g cm⁻³. For the relative energy among the computed polymorphs, the calculation gives 302 meV per atom. Its density of states at the Fermi level is 7.00 states/eV/cell.

It has space group Cmc2_1 (No. 36), with a = 2.943 Å, b = 14.110 Å, c = 6.103 Å, α = 90.00°, β = 90.00° and γ = 90.00°. Symmetry generates all atoms from Ca at (0.000, 0.037, 0.000), Ca at (0.000, 0.224, 0.713), B at (0.000, 0.382, 0.962), N at (0.000, 0.140, 0.345) and N at (0.000, 0.417, 0.185).

---

VASP calculation (PBE) on crystalline Ti3ZnS6 at its relaxed geometry.

The value obtained for the formation energy (no corrections) is -10.70 eV per formula unit. For the mass density, the calculation gives 3.797 g cm⁻³. Its density of states at the Fermi level is 15.63 states/eV/cell.

It has space group Cmc2_1 (No. 36), with a = 9.711 Å, b = 12.019 Å, c = 6.015 Å, α = 90.00°, β = 90.00° and γ = 90.00°. Symmetry generates all atoms from Ti at (0.000, 0.094, 0.000), Ti at (0.175, 0.403, 0.104), Zn at (0.000, 0.285, 0.620), S at (0.000, 0.274, 0.243), S at (0.000, 0.463, 0.779), S at (0.164, 0.035, 0.300) and S at (0.178, 0.218, 0.843).

---

VASP calculation (PBE) on crystalline MgTlTe2 at its relaxed geometry.

The value obtained for the formation energy (no corrections) is -0.83 eV per formula unit. For the mass density, the calculation gives 6.752 g cm⁻³. Its density of states at the Fermi level is 1.44 states/eV/cell.

It has space group C2/m (No. 12), with a = 8.537 Å, b = 8.530 Å, c = 3.268 Å, α = 90.00°, β = 90.64° and γ = 90.00°. Symmetry generates all atoms from Mg at (0.000, 0.000, 0.000), Tl at (0.000, 0.500, 0.000) and Te at (0.250, 0.250, 0.500).

---

VASP calculation (PBE) on crystalline CsFe2CuSe4 at its relaxed geometry.

The value obtained for the formation energy (no corrections) is -0.87 eV per formula unit. For the mass density, the calculation gives 4.572 g cm⁻³. Its density of states at the Fermi level is 12.12 states/eV/cell.

It has space group I222 (No. 23), with a = 4.919 Å, b = 9.237 Å, c = 9.974 Å, α = 90.00°, β = 90.00° and γ = 90.00°. Symmetry generates all atoms from Cs at (0.000, 0.000, 0.000), Fe at (0.000, 0.500, 0.116), Cu at (0.000, 0.000, 0.500) and Se at (0.189, 0.183, 0.352).

---

VASP calculation (PBE) on crystalline Ho2ErMg at its relaxed geometry.

For the mass density, the calculation gives 7.517 g cm⁻³. For the relative energy among the computed polymorphs, the calculation gives 78 meV per atom. Its density of states at the Fermi level is 17.95 states/eV/cell.

It has space group Fm-3m (No. 225), with a = 7.723 Å, b = 7.723 Å, c = 7.723 Å, α = 90.00°, β = 90.00° and γ = 90.00°. Symmetry generates all atoms from Ho at (0.250, 0.250, 0.250), Er at (0.000, 0.000, 0.000) and Mg at (0.000, 0.000, 0.500).

---

VASP calculation (PBE) on crystalline CsMg6BiO8 at its relaxed geometry.

The value obtained for the formation energy (no corrections) is -28.43 eV per formula unit. For the mass density, the calculation gives 4.801 g cm⁻³. Its density of states at the Fermi level is 2.86 states/eV/cell.

It has space group P4/mmm (No. 123), with a = 4.809 Å, b = 4.809 Å, c = 9.206 Å, α = 90.00°, β = 90.00° and γ = 90.00°. Symmetry generates all atoms from Cs at (0.000, 0.000, 0.000), Mg at (0.000, 0.000, 0.500), Mg at (0.000, 0.500, 0.280), Mg at (0.500, 0.500, 0.500), Bi at (0.500, 0.500, 0.000), O at (0.000, 0.000, 0.292), O at (0.000, 0.500, 0.000), O at (0.000, 0.500, 0.500) and O at (0.500, 0.500, 0.271).

---

VASP calculation (PBE) on crystalline Zr5AlSi2 at its relaxed geometry.

The value obtained for the formation energy (no corrections) is -3.61 eV per formula unit. For the mass density, the calculation gives 5.763 g cm⁻³. For the relative energy among the computed polymorphs, the calculation gives 0 meV per atom. Its density of states at the Fermi level is 12.34 states/eV/cell.

It has space group Pbam (No. 55), with a = 6.092 Å, b = 11.873 Å, c = 4.296 Å, α = 90.00°, β = 90.00° and γ = 90.00°. Symmetry generates all atoms from Zr at (0.000, 0.000, 0.000), Zr at (0.071, 0.261, 0.000), Zr at (0.201, 0.613, 0.500), Al at (0.000, 0.500, 0.000) and Si at (0.179, 0.862, 0.500).